Record 1
An optimized crystal structure of AgSb2F12, computed with GGA-PBE.

```
AgSb2F12
1.0
-0.383 -5.326 -0.904
3.152 1.415 4.403
-8.401 -0.151 3.259
Ag Sb F
1 2 12
direct
0.500 0.500 0.500
0.269 0.011 0.765
0.731 0.989 0.235
0.775 0.774 0.373
0.225 0.226 0.627
0.352 0.773 0.228
0.306 0.769 0.865
0.694 0.231 0.135
0.884 0.793 0.710
0.116 0.207 0.290
0.305 0.772 0.566
0.695 0.228 0.434
0.208 0.241 0.937
0.792 0.759 0.063
0.648 0.227 0.772
```

Properties
Electronic total energy in eV per atom: -4.285
E_form (uncorrected) in eV per formula unit: -30.72


Record 2
An optimized crystal structure of Ag2SbF8, computed with GGA-PBE.

```
Ag2SbF8
1.0
3.756 0.000 0.000
0.000 5.153 0.112
-1.878 -2.068 7.661
Ag Sb F
2 1 8
direct
0.811 0.282 0.623
0.189 0.718 0.377
0.500 0.000 0.000
0.417 0.659 0.833
0.612 0.885 0.223
0.764 0.730 0.527
0.984 0.200 0.968
0.236 0.270 0.473
0.388 0.115 0.777
0.583 0.341 0.167
0.016 0.800 0.032
```

Properties
Electronic total energy in eV per atom: -3.843
E_form (uncorrected) in eV per formula unit: -17.48
ΔE to the lowest computed polymorph in meV per atom: 183


Record 3
An optimized crystal structure of AgSb3F, computed with GGA-PBE.

```
AgSb3F
1.0
-0.779 0.952 -4.777
3.266 -3.486 -1.227
-3.613 -3.357 -0.080
Sb Ag F
3 1 1
direct
0.000 0.500 0.000
0.000 0.000 0.500
0.500 0.000 0.000
0.500 0.500 0.500
0.000 0.000 0.000
```

Properties
Electronic total energy in eV per atom: -3.365
E_form (uncorrected) in eV per formula unit: 0.26
ΔE to the lowest computed polymorph in meV per atom: 0


Record 4
An optimized crystal structure of AgSbF6, computed with GGA-PBE.

```
AgSbF6
1.0
6.183 0.007 0.005
3.098 5.365 0.000
3.097 1.788 5.043
Sb Ag F
1 1 6
direct
0.000 0.000 0.000
0.500 0.500 0.500
0.780 0.220 0.780
0.779 0.780 0.221
0.779 0.220 0.221
0.221 0.780 0.779
0.221 0.220 0.779
0.220 0.780 0.220
```

Properties
Electronic total energy in eV per atom: -4.335
E_form (uncorrected) in eV per formula unit: -16.47